DFT (PBE) results for crystalline LuMn2W at its relaxed geometry.

Structure (extended XYZ):
```
4
Lattice="3.0810 0.0000 0.0000 0.0000 3.0810 0.0000 0.0000 0.0000 6.4768" Properties=species:S:1:pos:R:3 pbc="T T T"
Lu 0.0000 0.0000 0.0000
Mn 1.5405 1.5405 1.8522
Mn 1.5405 1.5405 4.6246
W 0.0000 0.0000 3.2384
```

Summary:
Energy of formation from the pure elements (eV per atom): 0.121
V (Å³ per atom): 15.37

***

DFT (PBE) results for crystalline BaYSi at its relaxed geometry.

Structure (extended XYZ):
```
3
Lattice="-1.9927 1.9927 6.2819 1.9927 -1.9927 6.2819 1.9927 1.9927 -6.2819" Properties=species:S:1:pos:R:3 pbc="T T T"
Ba 0.0000 0.0000 0.0000
Y 0.0000 0.0000 3.3142
Si 0.0000 0.0000 8.9077
```

Summary:
Uncorrected energy (eV per atom): -4.816
V (Å³ per atom): 33.26

***

DFT (PBE) results for crystalline ZrMnOs2S at its relaxed geometry.

Structure (extended XYZ):
```
5
Lattice="4.8829 0.0000 0.0000 0.0000 4.8829 0.0000 0.0000 0.0000 4.6271" Properties=species:S:1:pos:R:3 pbc="T T T"
Zr 0.0000 0.0000 0.0000
Mn 0.0000 0.0000 2.3135
Os 0.0000 2.4415 0.0000
Os 2.4415 0.0000 0.0000
S 2.4415 2.4415 2.3135
```

Summary:
Uncorrected energy (eV per atom): -6.250
V (Å³ per atom): 22.06

***

DFT (PBE) results for crystalline Ac2PaTl at its relaxed geometry.

Structure (extended XYZ):
```
4
Lattice="1.7674 1.0204 12.6802 -1.7674 1.0204 12.6802 0.0000 -2.0408 12.6802" Properties=species:S:1:pos:R:3 pbc="T T T"
Ac 0.0000 0.0000 3.4065
Ac 0.0000 0.0000 34.6340
Pa 0.0000 0.0000 0.0000
Tl 0.0000 0.0000 19.0202
```

Summary:
Energy of formation from the pure elements (eV per atom): 0.418
V (Å³ per atom): 34.30

***

DFT (PBE) results for crystalline La2Dy2Y4Th at its relaxed geometry.

Structure (extended XYZ):
```
9
Lattice="9.4595 -1.8146 0.0000 9.4595 1.8146 0.0000 -4.2008 0.0000 8.6567" Properties=species:S:1:pos:R:3 pbc="T T T"
La 0.9927 0.0000 4.3235
La 13.7254 0.0000 4.3332
Dy 3.1504 0.0000 7.2616
Dy 11.5678 0.0000 1.3951
Y -3.1380 0.0000 7.1900
Y 5.2723 0.0000 1.4317
Y 9.4458 0.0000 7.2250
Y 17.8561 0.0000 1.4667
Th 7.3591 0.0000 4.3283
```

Summary:
Energy of formation from the pure elements (eV per atom): -0.001
V (Å³ per atom): 33.02

***

DFT (PBE) results for crystalline Na2MgInS4 at its relaxed geometry.

Structure (extended XYZ):
```
8
Lattice="6.4602 0.0000 0.0000 0.0000 3.7579 0.0000 -2.1473 0.0000 6.8447" Properties=species:S:1:pos:R:3 pbc="T T T"
Na 0.0000 0.0000 0.0000
Na 3.2301 1.8790 0.0000
Mg -1.0736 1.8790 3.4223
In 2.1564 0.0000 3.4223
S -0.0082 0.0000 4.9203
S 1.0503 1.8790 1.9125
S 3.2626 1.8790 4.9321
S 4.3211 0.0000 1.9244
```

Summary:
Uncorrected energy (eV per atom): -3.836
V (Å³ per atom): 20.77

***

Number 1 is which compound?
LuMn2W

***

What is the formula in the fifth record?
La2Dy2Y4Th